9
Lattice="-3.331 2.231 -3.473 -0.346 -1.902 -4.941 -4.908 -4.260 1.991" Properties=species:S:1:pos:R:3 comment="CsNpFeO6 (PBE+U, relaxed)" total_energy_ev_per_atom=-7.3202 pbc="T T T"
Cs -8.239 -2.029 -1.482
Np -4.905 -1.910 -4.614
Fe -3.680 -2.020 -1.809
O -1.847 -2.138 -1.220
O -4.492 -1.995 -0.059
O -5.402 -2.156 -2.667
O -3.492 -3.938 -1.757
O -3.133 -1.779 -3.642
O -3.711 -0.115 -1.508